(1)
Crystalline Si3MoIr at its relaxed geometry. Source: the Alexandria database, functional PBE.

Lattice parameters (Å, degrees): 4.613 4.613 4.613 90.00 90.00 90.00
Fractional coordinates of all 5 atoms:
Si  0.000  0.000  0.500
Si  0.000  0.500  0.000
Si  0.500  0.000  0.000
Mo  0.000  0.000  0.000
Ir  0.500  0.500  0.500

## Properties
N(E_F)	8.51	states/eV per cell
ρ	6298	kg/m3

=====

(2)
Crystalline Si3MoIr at its relaxed geometry. Source: the Alexandria database, functional PBE.

Lattice parameters (Å, degrees): 4.627 4.627 4.627 90.00 90.00 90.00
Fractional coordinates of all 5 atoms:
Si  0.000  0.000  0.500
Si  0.000  0.500  0.000
Si  0.500  0.000  0.000
Mo  0.500  0.500  0.500
Ir  0.000  0.000  0.000

## Properties
N(E_F)	2.29	states/eV per cell
ρ	6241	kg/m3

=====

Unit: eV/atom. Relative energies: (1) 0.199; (2) 0.000.

=====

(1)
Crystalline Sn3MoIr at its relaxed geometry. Source: the Alexandria database, functional PBE.

Lattice parameters (Å, degrees): 5.175 5.175 5.175 90.00 90.00 90.00
Fractional coordinates of all 5 atoms:
Sn  0.000  0.000  0.500
Sn  0.000  0.500  0.000
Sn  0.500  0.000  0.000
Mo  0.000  0.000  0.000
Ir  0.500  0.500  0.500

## Properties
N(E_F)	6.62	states/eV per cell
ρ	7721	kg/m3

=====

(2)
Crystalline Sn3MoIr at its relaxed geometry. Source: the Alexandria database, functional PBE.

Lattice parameters (Å, degrees): 5.125 5.125 5.125 90.00 90.00 90.00
Fractional coordinates of all 5 atoms:
Sn  0.000  0.000  0.500
Sn  0.000  0.500  0.000
Sn  0.500  0.000  0.000
Mo  0.500  0.500  0.500
Ir  0.000  0.000  0.000

## Properties
N(E_F)	3.99	states/eV per cell
ρ	7950	kg/m3

=====

Unit: eV/atom. Relative energies: (1) 0.263; (2) 0.000.

=====

(1)
Crystalline SrMoIr2 at its relaxed geometry. Source: the Alexandria database, functional PBE.

Lattice parameters (Å, degrees): 5.151 2.813 5.390 90.00 113.76 90.00
Fractional coordinates of all 4 atoms:
Sr  0.000  0.000  0.000
Mo  0.000  0.500  0.500
Ir  0.500  0.000  0.500
Ir  0.500  0.500  0.000

## Properties
N(E_F)	5.01	states/eV per cell
ρ	13196	kg/m3

=====

(2)
Crystalline SrMoIr2 at its relaxed geometry. Source: the Alexandria database, functional PBE.

Lattice parameters (Å, degrees): 3.016 3.016 8.112 90.00 90.00 90.00
Fractional coordinates of all 4 atoms:
Sr  0.000  0.000  0.000
Mo  0.000  0.000  0.500
Ir  0.500  0.500  0.298
Ir  0.500  0.500  0.702

## Properties
N(E_F)	3.69	states/eV per cell
ρ	12780	kg/m3

=====

Unit: eV/atom. Relative energies: (1) 0.665; (2) 0.000.

=====

(1)
Crystalline SrMoIr2 at its relaxed geometry. Source: the Alexandria database, functional PBE.

Lattice parameters (Å, degrees): 6.091 6.091 6.091 42.50 42.50 42.50
Fractional coordinates of all 4 atoms:
Sr  0.000  0.000  0.000
Mo  0.500  0.500  0.500
Ir  0.194  0.194  0.194
Ir  0.806  0.806  0.806

## Properties
N(E_F)	4.74	states/eV per cell
ρ	10101	kg/m3

=====

(2)
Crystalline SrMoIr2 at its relaxed geometry. Source: the Alexandria database, functional PBE.

Lattice parameters (Å, degrees): 2.809 4.048 6.994 90.00 90.00 90.00
Fractional coordinates of all 4 atoms:
Sr  0.000  0.000  0.000
Mo  0.500  0.500  0.636
Ir  0.000  0.000  0.491
Ir  0.500  0.500  0.280

## Properties
N(E_F)	4.05	states/eV per cell
ρ	11858	kg/m3

=====

Unit: eV/atom. Relative energies: (1) 0.000; (2) 0.303.

=====

(1)
Crystalline SrMoIr2 at its relaxed geometry. Source: the Alexandria database, functional PBE.

Lattice parameters (Å, degrees): 4.697 4.697 4.697 60.00 60.00 60.00
Fractional coordinates of all 4 atoms:
Sr  0.000  0.000  0.000
Mo  0.500  0.500  0.500
Ir  0.250  0.250  0.250
Ir  0.750  0.750  0.750

## Properties
N(E_F)	6.73	states/eV per cell
ρ	12876	kg/m3

=====

(2)
Crystalline SrMoIr2 at its relaxed geometry. Source: the Alexandria database, functional PBE.

Lattice parameters (Å, degrees): 6.035 6.035 6.035 152.64 131.96 56.16
Fractional coordinates of all 4 atoms:
Sr  0.000  0.000  0.000
Mo  0.707  0.207  0.500
Ir  0.277  0.777  0.500
Ir  0.497  0.497  0.000

## Properties
N(E_F)	3.35	states/eV per cell
ρ	12632	kg/m3

=====

Unit: eV/atom. Relative energies: (1) 0.238; (2) 0.000.

=====

(1)
Crystalline SrMoIr2 at its relaxed geometry. Source: the Alexandria database, functional PBE.

Lattice parameters (Å, degrees): 3.016 4.555 5.919 90.00 98.90 90.00
Fractional coordinates of all 4 atoms:
Sr  0.000  0.000  0.000
Mo  0.187  0.500  0.572
Ir  0.569  0.000  0.510
Ir  0.576  0.500  0.227

## Properties
N(E_F)	4.15	states/eV per cell
ρ	11742	kg/m3

=====

(2)
Crystalline SrMoIr2 at its relaxed geometry. Source: the Alexandria database, functional PBE.

Lattice parameters (Å, degrees): 5.089 5.089 5.660 100.06 100.06 33.25
Fractional coordinates of all 4 atoms:
Sr  0.000  0.000  0.000
Mo  0.211  0.211  0.615
Ir  0.487  0.487  0.509
Ir  0.764  0.764  0.270

## Properties
N(E_F)	3.24	states/eV per cell
ρ	11935	kg/m3

=====

(3)
Crystalline SrMoIr2 at its relaxed geometry. Source: the Alexandria database, functional PBE.

Lattice parameters (Å, degrees): 5.254 5.254 5.254 134.44 134.44 66.40
Fractional coordinates of all 4 atoms:
Sr  0.000  0.000  0.000
Mo  0.750  0.250  0.500
Ir  0.250  0.750  0.500
Ir  0.500  0.500  0.000

## Properties
N(E_F)	4.24	states/eV per cell
ρ	12957	kg/m3

=====

(4)
Crystalline SrMoIr2 at its relaxed geometry. Source: the Alexandria database, functional PBE.

Lattice parameters (Å, degrees): 3.334 3.334 7.337 90.00 90.00 90.00
Fractional coordinates of all 4 atoms:
Sr  0.000  0.000  0.000
Mo  0.500  0.500  0.640
Ir  0.000  0.000  0.500
Ir  0.500  0.500  0.285

## Properties
N(E_F)	5.89	states/eV per cell
ρ	11563	kg/m3

=====

Unit: eV/atom. Relative energies: (1) 0.018; (2) 0.000; (3) 0.385; (4) 0.158.

=====

(1)
Crystalline SrMoIr2 at its relaxed geometry. Source: the Alexandria database, functional PBE.

Lattice parameters (Å, degrees): 6.134 6.134 6.134 104.54 104.54 119.85
Fractional coordinates of all 8 atoms:
Sr  0.000  0.000  0.000
Sr  0.750  0.250  0.500
Mo  0.250  0.750  0.500
Mo  0.500  0.500  0.000
Ir  0.190  0.625  0.065
Ir  0.375  0.440  0.565
Ir  0.560  0.125  0.935
Ir  0.875  0.810  0.435

## Properties
N(E_F)	3.26	states/eV per cell
ρ	10890	kg/m3

=====

(2)
Crystalline SrMoIr2 at its relaxed geometry. Source: the Alexandria database, functional PBE.

Lattice parameters (Å, degrees): 2.909 2.909 8.872 90.00 90.00 90.00
Fractional coordinates of all 4 atoms:
Sr  0.000  0.000  0.000
Mo  0.500  0.500  0.668
Ir  0.000  0.000  0.479
Ir  0.500  0.500  0.264

## Properties
N(E_F)	6.01	states/eV per cell
ρ	12566	kg/m3

=====

(3)
Crystalline SrMoIr2 at its relaxed geometry. Source: the Alexandria database, functional PBE.

Lattice parameters (Å, degrees): 5.009 5.009 2.911 90.00 90.00 100.32
Fractional coordinates of all 4 atoms:
Sr  0.000  0.000  0.000
Mo  0.500  0.500  0.000
Ir  0.000  0.500  0.500
Ir  0.500  0.000  0.500

## Properties
N(E_F)	3.01	states/eV per cell
ρ	13126	kg/m3

=====

Unit: eV/atom. Relative energies: (1) 0.071; (2) 0.092; (3) 0.000.

=====

(1)
Crystalline Sr2MoIr at its relaxed geometry. Source: the Alexandria database, functional PBE.

Lattice parameters (Å, degrees): 3.453 3.453 9.440 90.00 90.00 90.00
Fractional coordinates of all 4 atoms:
Sr  0.000  0.000  0.000
Sr  0.500  0.500  0.396
Mo  0.500  0.500  0.739
Ir  0.000  0.000  0.642

## Properties
N(E_F)	5.31	states/eV per cell
ρ	6836	kg/m3

=====

(2)
Crystalline Sr2MoIr at its relaxed geometry. Source: the Alexandria database, functional PBE.

Lattice parameters (Å, degrees): 5.444 5.444 5.444 126.13 126.13 79.68
Fractional coordinates of all 4 atoms:
Sr  0.250  0.750  0.500
Sr  0.750  0.250  0.500
Mo  0.000  0.000  0.000
Ir  0.500  0.500  0.000

## Properties
N(E_F)	2.87	states/eV per cell
ρ	7567	kg/m3

=====

(3)
Crystalline Sr2MoIr at its relaxed geometry. Source: the Alexandria database, functional PBE.

Lattice parameters (Å, degrees): 10.276 10.276 10.276 18.32 18.32 18.32
Fractional coordinates of all 4 atoms:
Sr  0.244  0.244  0.244
Sr  0.756  0.756  0.756
Mo  0.000  0.000  0.000
Ir  0.500  0.500  0.500

## Properties
N(E_F)	5.61	states/eV per cell
ρ	8218	kg/m3

=====

Unit: eV/atom. Relative energies: (1) 0.000; (2) 0.566; (3) 0.705.

=====

(1)
Crystalline Sr2MoIr at its relaxed geometry. Source: the Alexandria database, functional PBE.

Lattice parameters (Å, degrees): 6.391 6.391 6.391 144.21 130.65 62.44
Fractional coordinates of all 4 atoms:
Sr  0.000  0.000  0.000
Sr  0.719  0.219  0.500
Mo  0.308  0.808  0.500
Ir  0.431  0.431  0.000

## Properties
N(E_F)	4.34	states/eV per cell
ρ	6720	kg/m3

=====

(2)
Crystalline Sr2MoIr at its relaxed geometry. Source: the Alexandria database, functional PBE.

Lattice parameters (Å, degrees): 3.652 4.033 7.046 90.00 90.00 90.00
Fractional coordinates of all 4 atoms:
Sr  0.000  0.000  0.228
Sr  0.000  0.000  0.772
Mo  0.500  0.500  0.500
Ir  0.500  0.500  0.000

## Properties
N(E_F)	3.10	states/eV per cell
ρ	7413	kg/m3

=====

(3)
Crystalline Sr2MoIr at its relaxed geometry. Source: the Alexandria database, functional PBE.

Lattice parameters (Å, degrees): 3.124 3.124 9.604 90.00 90.00 90.00
Fractional coordinates of all 4 atoms:
Sr  0.000  0.000  0.223
Sr  0.000  0.000  0.777
Mo  0.500  0.500  0.500
Ir  0.500  0.500  0.000

## Properties
N(E_F)	5.11	states/eV per cell
ρ	8212	kg/m3

=====

(4)
Crystalline Sr2MoIr at its relaxed geometry. Source: the Alexandria database, functional PBE.

Lattice parameters (Å, degrees): 5.728 5.728 3.189 90.12 90.12 119.52
Fractional coordinates of all 4 atoms:
Sr  0.000  0.500  0.000
Sr  0.500  0.000  0.000
Mo  0.000  0.000  0.500
Ir  0.500  0.500  0.500

## Properties
N(E_F)	3.58	states/eV per cell
ρ	8453	kg/m3

=====

Unit: eV/atom. Relative energies: (1) 0.000; (2) 0.521; (3) 0.468; (4) 0.561.

=====

(1)
Crystalline Sr2MoIr at its relaxed geometry. Source: the Alexandria database, functional PBE.

Lattice parameters (Å, degrees): 4.768 4.768 4.385 90.00 90.00 90.00
Fractional coordinates of all 4 atoms:
Sr  0.000  0.500  0.000
Sr  0.500  0.000  0.000
Mo  0.000  0.000  0.500
Ir  0.500  0.500  0.500

## Properties
N(E_F)	2.97	states/eV per cell
ρ	7719	kg/m3

=====

(2)
Crystalline Sr2MoIr at its relaxed geometry. Source: the Alexandria database, functional PBE.

Lattice parameters (Å, degrees): 5.256 5.256 5.256 60.00 60.00 60.00
Fractional coordinates of all 4 atoms:
Sr  0.250  0.250  0.250
Sr  0.750  0.750  0.750
Mo  0.000  0.000  0.000
Ir  0.500  0.500  0.500

## Properties
N(E_F)	3.57	states/eV per cell
ρ	7493	kg/m3

=====

(3)
Crystalline Sr2MoIr at its relaxed geometry. Source: the Alexandria database, functional PBE.

Lattice parameters (Å, degrees): 5.820 5.820 5.820 138.97 131.25 65.56
Fractional coordinates of all 4 atoms:
Sr  0.225  0.225  0.000
Sr  0.775  0.775  0.000
Mo  0.500  0.000  0.500
Ir  0.000  0.500  0.500

## Properties
N(E_F)	3.80	states/eV per cell
ρ	8026	kg/m3

=====

(4)
Crystalline Sr2MoIr at its relaxed geometry. Source: the Alexandria database, functional PBE.

Lattice parameters (Å, degrees): 3.196 4.961 5.784 90.00 95.00 90.00
Fractional coordinates of all 4 atoms:
Sr  0.037  0.000  0.256
Sr  0.963  0.000  0.744
Mo  0.500  0.500  0.000
Ir  0.500  0.500  0.500

## Properties
N(E_F)	3.20	states/eV per cell
ρ	8425	kg/m3

=====

Unit: eV/atom. Relative energies: (1) 0.000; (2) 0.026; (3) 0.020; (4) 0.049.

=====

(1)
Crystalline SrMo3Ir at its relaxed geometry. Source: the Alexandria database, functional PBE.

Lattice parameters (Å, degrees): 4.892 4.892 4.892 90.00 90.00 90.00
Fractional coordinates of all 5 atoms:
Sr  0.000  0.000  0.000
Mo  0.000  0.500  0.500
Mo  0.500  0.000  0.500
Mo  0.500  0.500  0.000
Ir  0.500  0.500  0.500

## Properties
N(E_F)	4.91	states/eV per cell
ρ	8050	kg/m3

=====

(2)
Crystalline SrMo3Ir at its relaxed geometry. Source: the Alexandria database, functional PBE.

Lattice parameters (Å, degrees): 4.622 4.622 4.622 90.00 90.00 90.00
Fractional coordinates of all 5 atoms:
Sr  0.000  0.000  0.000
Mo  0.000  0.000  0.500
Mo  0.000  0.500  0.000
Mo  0.500  0.000  0.000
Ir  0.500  0.500  0.500

## Properties
N(E_F)	6.48	states/eV per cell
ρ	9545	kg/m3

=====

Unit: eV/atom. Relative energies: (1) 0.000; (2) 1.933.